[1]
This record from Alexandria via LeMat-Bulk describes a relaxed Zn2Ag5Au12 crystal. The functional is PBE.

Cell: 8.2684 8.2684 9.8633 Å, 114.93 114.93 39.83°
Fractional coordinates of all 19 atoms:
1 Zn 0.2489 0.7511 0.0000
2 Zn 0.7511 0.2489 0.0000
3 Ag 0.1687 0.1687 0.5148
4 Ag 0.1800 0.1800 0.0222
5 Ag 0.5000 0.5000 0.5000
6 Ag 0.8200 0.8200 0.9778
7 Ag 0.8313 0.8313 0.4852
8 Au 0.0022 0.0022 0.2393
9 Au 0.0862 0.5802 0.7309
10 Au 0.1030 0.5984 0.2561
11 Au 0.3592 0.3592 0.0071
12 Au 0.4016 0.8970 0.7439
13 Au 0.4198 0.9138 0.2691
14 Au 0.5802 0.0862 0.7309
15 Au 0.5984 0.1030 0.2561
16 Au 0.6408 0.6408 0.9929
17 Au 0.8970 0.4016 0.7439
18 Au 0.9138 0.4198 0.2691
19 Au 0.9978 0.9978 0.7607

## Properties
For the polymorph energy (0 for the lowest one), the calculation gives 0.101 eV per atom. As for the uncorrected energy: -54.86 eV per formula unit.

[2]
This record from Alexandria via LeMat-Bulk describes a relaxed K2InSnO4 crystal. The functional is PBE.

Cell: 6.0981 6.0981 6.0981 Å, 120.79 120.79 88.64°
Fractional coordinates of all 8 atoms:
1 K 0.0000 0.0000 0.0000
2 K 0.7500 0.2500 0.5000
3 In 0.2500 0.7500 0.5000
4 Sn 0.5000 0.5000 0.0000
5 O 0.2176 0.6188 0.0826
6 O 0.3812 0.4637 0.5988
7 O 0.5363 0.1351 0.9174
8 O 0.8649 0.7824 0.4012

## Properties
As for the uncorrected energy: -40.60 eV per formula unit. As for the formation energy (no corrections): -1.48 eV per atom.

[3]
This record from Alexandria via LeMat-Bulk describes a relaxed RbNaSr2P crystal. The functional is PBE.

Cell: 6.0229 6.0229 6.2248 Å, 90.00 90.00 90.00°
Fractional coordinates of all 5 atoms:
1 Rb 0.0000 0.0000 0.0000
2 Na 0.5000 0.5000 0.0000
3 Sr 0.0000 0.5000 0.5000
4 Sr 0.5000 0.0000 0.5000
5 P 0.5000 0.5000 0.5000

## Properties
For the polymorph energy (0 for the lowest one), the calculation gives 0.050 eV per atom. As for the uncorrected energy: -12.58 eV per formula unit.

[4]
This record from Alexandria via LeMat-Bulk describes a relaxed Nd4AuSe5 crystal. The functional is PBE.

Cell: 9.5382 9.5382 9.0724 Å, 107.90 107.90 25.47°
Fractional coordinates of all 10 atoms:
1 Nd 0.0041 0.0041 0.2761
2 Nd 0.3160 0.3160 0.8794
3 Nd 0.6840 0.6840 0.1206
4 Nd 0.9959 0.9959 0.7239
5 Au 0.5000 0.5000 0.0000
6 Se 0.1598 0.1598 0.8747
7 Se 0.1616 0.1616 0.3192
8 Se 0.5000 0.5000 0.5000
9 Se 0.8384 0.8384 0.6808
10 Se 0.8402 0.8402 0.1253

## Properties
As for the uncorrected energy: -54.95 eV per formula unit. As for the formation energy (no corrections): -1.52 eV per atom.

[5]
This record from Alexandria via LeMat-Bulk describes a relaxed NbTe2Cl crystal. The functional is PBE.

Cell: 7.5866 7.5866 7.5866 Å, 123.71 123.71 83.68°
Fractional coordinates of all 8 atoms:
1 Nb 0.0000 0.0000 0.0000
2 Nb 0.7500 0.2500 0.5000
3 Te 0.0630 0.6250 0.9380
4 Te 0.3750 0.3130 0.4380
5 Te 0.6870 0.1250 0.0620
6 Te 0.8750 0.9370 0.5620
7 Cl 0.2500 0.7500 0.5000
8 Cl 0.5000 0.5000 0.0000

## Properties
For the polymorph energy (0 for the lowest one), the calculation gives 0.340 eV per atom. As for the uncorrected energy: -18.22 eV per formula unit. As for the formation energy (no corrections): 0.00 eV per atom.

[6]
This record from Alexandria via LeMat-Bulk describes a relaxed Nb5TcRu4 crystal. The functional is PBE.

Cell: 3.2284 3.2284 15.4875 Å, 90.00 90.00 90.00°
Fractional coordinates of all 10 atoms:
1 Nb 0.0000 0.0000 0.0000
2 Nb 0.0000 0.0000 0.1972
3 Nb 0.0000 0.0000 0.4000
4 Nb 0.0000 0.0000 0.6000
5 Nb 0.0000 0.0000 0.8028
6 Tc 0.5000 0.5000 0.5000
7 Ru 0.5000 0.5000 0.0993
8 Ru 0.5000 0.5000 0.2968
9 Ru 0.5000 0.5000 0.7032
10 Ru 0.5000 0.5000 0.9007

## Properties
As for the uncorrected energy: -99.92 eV per formula unit.

[7]
This record from Alexandria via LeMat-Bulk describes a relaxed Sr2Ca4Ni crystal. The functional is PBE.

Cell: 10.7691 10.7691 10.7691 Å, 150.43 150.43 42.31°
Fractional coordinates of all 7 atoms:
1 Sr 0.1731 0.1731 0.0000
2 Sr 0.8269 0.8269 0.0000
3 Ca 0.0000 0.5000 0.5000
4 Ca 0.3665 0.3665 0.0000
5 Ca 0.5000 0.0000 0.5000
6 Ca 0.6335 0.6335 0.0000
7 Ni 0.5000 0.5000 0.0000

## Properties
As for the uncorrected energy: -16.79 eV per formula unit.

[8]
This record from Alexandria via LeMat-Bulk describes a relaxed PrErTl crystal. The functional is PBE.

Cell: 4.7466 4.7466 8.3830 Å, 90.00 90.00 90.00°
Fractional coordinates of all 6 atoms:
1 Pr 0.2500 0.2500 0.1481
2 Pr 0.7500 0.7500 0.8519
3 Er 0.2500 0.7500 0.5000
4 Er 0.7500 0.2500 0.5000
5 Tl 0.2500 0.2500 0.7601
6 Tl 0.7500 0.7500 0.2399

## Properties
For the polymorph energy (0 for the lowest one), the calculation gives 0.006 eV per atom. As for the uncorrected energy: -12.45 eV per formula unit.

[9]
This record from Alexandria via LeMat-Bulk describes a relaxed NaInWN2 crystal. The functional is PBE.

Cell: 4.0962 4.0962 4.7505 Å, 90.00 90.00 90.00°
Fractional coordinates of all 5 atoms:
1 Na 0.0000 0.0000 0.0000
2 In 0.0000 0.0000 0.5000
3 W 0.5000 0.5000 0.5000
4 N 0.0000 0.5000 0.0000
5 N 0.5000 0.0000 0.0000

## Properties
As for the uncorrected energy: -20.48 eV per formula unit. As for the formation energy (no corrections): 2.64 eV per atom.

[10]
This record from Alexandria via LeMat-Bulk describes a relaxed Sr3InRe crystal. The functional is PBE.

Cell: 5.7886 5.7886 5.7886 Å, 90.00 90.00 90.00°
Fractional coordinates of all 5 atoms:
1 Sr 0.0000 0.0000 0.5000
2 Sr 0.0000 0.5000 0.0000
3 Sr 0.5000 0.0000 0.0000
4 In 0.5000 0.5000 0.5000
5 Re 0.0000 0.0000 0.0000

## Properties
For the polymorph energy (0 for the lowest one), the calculation gives 0.000 eV per atom. As for the uncorrected energy: -16.86 eV per formula unit.

[11]
This record from Alexandria via LeMat-Bulk describes a relaxed PmEr9In2 crystal. The functional is PBE.

Cell: 4.8395 4.8395 14.8559 Å, 90.00 90.00 90.00°
Fractional coordinates of all 12 atoms:
1 Pm 0.0000 0.0000 0.0000
2 Er 0.0000 0.5000 0.1742
3 Er 0.0000 0.5000 0.5000
4 Er 0.0000 0.5000 0.8258
5 Er 0.5000 0.0000 0.1742
6 Er 0.5000 0.0000 0.5000
7 Er 0.5000 0.0000 0.8258
8 Er 0.5000 0.5000 0.0000
9 Er 0.5000 0.5000 0.3388
10 Er 0.5000 0.5000 0.6612
11 In 0.0000 0.0000 0.3393
12 In 0.0000 0.0000 0.6607

## Properties
As for the uncorrected energy: -53.20 eV per formula unit.

[12]
This record from Alexandria via LeMat-Bulk describes a relaxed FeSnBr5 crystal. The functional is PBE.

Cell: 11.0997 9.6905 10.6985 Å, 90.00 90.00 90.00°
Fractional coordinates of all 28 atoms:
1 Fe 0.1251 0.2500 0.1423
2 Fe 0.3749 0.7500 0.6423
3 Fe 0.6251 0.2500 0.3577
4 Fe 0.8749 0.7500 0.8577
5 Sn 0.1382 0.7500 0.2327
6 Sn 0.3618 0.2500 0.7327
7 Sn 0.6382 0.7500 0.2673
8 Sn 0.8618 0.2500 0.7673
9 Br 0.0635 0.7500 0.9629
10 Br 0.1287 0.0593 0.2800
11 Br 0.1287 0.4407 0.2800
12 Br 0.1395 0.2500 0.6464
13 Br 0.2014 0.7500 0.5162
14 Br 0.2986 0.2500 0.0162
15 Br 0.3605 0.7500 0.1464
16 Br 0.3713 0.5593 0.7800
17 Br 0.3713 0.9407 0.7800
18 Br 0.4365 0.2500 0.4629
19 Br 0.5635 0.7500 0.5371
20 Br 0.6287 0.0593 0.2200
21 Br 0.6287 0.4407 0.2200
22 Br 0.6395 0.2500 0.8536
23 Br 0.7014 0.7500 0.9838
24 Br 0.7986 0.2500 0.4838
25 Br 0.8605 0.7500 0.3536
26 Br 0.8713 0.5593 0.7200
27 Br 0.8713 0.9407 0.7200
28 Br 0.9365 0.2500 0.0371

## Properties
As for the uncorrected energy: -24.84 eV per formula unit. As for the formation energy (no corrections): -0.57 eV per atom.

[13]
This record from Alexandria via LeMat-Bulk describes a relaxed PmPaOs crystal. The functional is PBE.

Cell: 12.3476 12.3476 12.3476 Å, 161.99 161.99 25.58°
Fractional coordinates of all 6 atoms:
1 Pm 0.0715 0.0715 0.0000
2 Pm 0.9285 0.9285 0.0000
3 Pa 0.3087 0.3087 0.0000
4 Pa 0.6913 0.6913 0.0000
5 Os 0.1871 0.1871 0.0000
6 Os 0.8129 0.8129 0.0000

## Properties
For the polymorph energy (0 for the lowest one), the calculation gives 0.136 eV per atom. As for the uncorrected energy: -25.64 eV per formula unit.

[14]
This record from Alexandria via LeMat-Bulk describes a relaxed RbNa6Sr crystal. The functional is PBE.

Cell: 7.1172 7.1172 7.1172 Å, 90.00 90.00 90.00°
Fractional coordinates of all 8 atoms:
1 Rb 0.0000 0.0000 0.0000
2 Na 0.0000 0.2562 0.5000
3 Na 0.0000 0.7438 0.5000
4 Na 0.2562 0.5000 0.0000
5 Na 0.5000 0.0000 0.2562
6 Na 0.5000 0.0000 0.7438
7 Na 0.7438 0.5000 0.0000
8 Sr 0.5000 0.5000 0.5000

## Properties
For the polymorph energy (0 for the lowest one), the calculation gives 0.027 eV per atom. As for the uncorrected energy: -9.99 eV per formula unit.

[15]
This record from Alexandria via LeMat-Bulk describes a relaxed Li2BeOs crystal. The functional is PBE.

Cell: 4.1820 4.1820 4.1820 Å, 126.88 126.88 78.44°
Fractional coordinates of all 4 atoms:
1 Li 0.0000 0.0000 0.0000
2 Li 0.7500 0.2500 0.5000
3 Be 0.5000 0.5000 0.0000
4 Os 0.2500 0.7500 0.5000

## Properties
As for the uncorrected energy: -17.52 eV per formula unit.

[16]
This record from Alexandria via LeMat-Bulk describes a relaxed PmNd2Sc3 crystal. The functional is PBE.

Cell: 3.5915 3.5915 13.6292 Å, 90.00 90.00 90.00°
Fractional coordinates of all 6 atoms:
1 Pm 0.0000 0.0000 0.0000
2 Nd 0.0000 0.0000 0.3328
3 Nd 0.0000 0.0000 0.6672
4 Sc 0.5000 0.5000 0.1657
5 Sc 0.5000 0.5000 0.5000
6 Sc 0.5000 0.5000 0.8343

## Properties
For the polymorph energy (0 for the lowest one), the calculation gives 0.000 eV per atom. As for the uncorrected energy: -32.98 eV per formula unit.

[17]
This record from Alexandria via LeMat-Bulk describes a relaxed Ce2CdHgRu crystal. The functional is PBE.

Cell: 8.2456 3.9566 8.3402 Å, 90.00 111.32 90.00°
Fractional coordinates of all 10 atoms:
1 Ce 0.0039 0.2500 0.2251
2 Ce 0.3412 0.7500 0.6122
3 Ce 0.6588 0.2500 0.3878
4 Ce 0.9961 0.7500 0.7749
5 Cd 0.3116 0.7500 0.2035
6 Cd 0.6884 0.2500 0.7965
7 Hg 0.3489 0.2500 0.9555
8 Hg 0.6511 0.7500 0.0445
9 Ru 0.1146 0.2500 0.6175
10 Ru 0.8854 0.7500 0.3825

## Properties
As for the uncorrected energy: -23.70 eV per formula unit.

[18]
This record from Alexandria via LeMat-Bulk describes a relaxed Pr4SmY3S8 crystal. The functional is PBE.

Cell: 8.1080 8.1080 8.1080 Å, 59.06 59.06 59.06°
Fractional coordinates of all 16 atoms:
1 Pr 0.0000 0.0000 0.0000
2 Pr 0.0000 0.5000 0.5000
3 Pr 0.5000 0.0000 0.5000
4 Pr 0.5000 0.5000 0.0000
5 Sm 0.5000 0.5000 0.5000
6 Y 0.0000 0.0000 0.5000
7 Y 0.0000 0.5000 0.0000
8 Y 0.5000 0.0000 0.0000
9 S 0.2404 0.7469 0.7469
10 S 0.2438 0.2438 0.2438
11 S 0.2531 0.2531 0.7596
12 S 0.2531 0.7596 0.2531
13 S 0.7469 0.2404 0.7469
14 S 0.7469 0.7469 0.2404
15 S 0.7562 0.7562 0.7562
16 S 0.7596 0.2531 0.2531

## Properties
As for the uncorrected energy: -108.46 eV per formula unit. As for the formation energy (no corrections): -2.01 eV per atom.

[19]
This record from Alexandria via LeMat-Bulk describes a relaxed Tl12Te3I5 crystal. The functional is PBE.

Cell: 17.2511 17.2511 17.2511 Å, 109.47 109.47 109.47°
Fractional coordinates of all 80 atoms:
1 Tl 0.0672 0.2280 0.1563
2 Tl 0.0672 0.3393 0.9109
3 Tl 0.0716 0.7280 0.6607
4 Tl 0.0716 0.8437 0.4109
5 Tl 0.0891 0.6563 0.4284
6 Tl 0.0891 0.9328 0.6607
7 Tl 0.1563 0.0672 0.2280
8 Tl 0.1563 0.5891 0.9284
9 Tl 0.1607 0.2280 0.5716
10 Tl 0.1607 0.4328 0.5891
11 Tl 0.2280 0.1563 0.0672
12 Tl 0.2280 0.5716 0.1607
13 Tl 0.2720 0.3393 0.9284
14 Tl 0.2720 0.4328 0.3437
15 Tl 0.3393 0.9109 0.0672
16 Tl 0.3393 0.9284 0.2720
17 Tl 0.3437 0.2720 0.4328
18 Tl 0.3437 0.5716 0.9109
19 Tl 0.4109 0.0716 0.8437
20 Tl 0.4109 0.8393 0.5672
21 Tl 0.4284 0.0891 0.6563
22 Tl 0.4284 0.8393 0.7720
23 Tl 0.4328 0.3437 0.2720
24 Tl 0.4328 0.5891 0.1607
25 Tl 0.5672 0.4109 0.8393
26 Tl 0.5672 0.6563 0.7280
27 Tl 0.5716 0.1607 0.2280
28 Tl 0.5716 0.9109 0.3437
29 Tl 0.5891 0.1607 0.4328
30 Tl 0.5891 0.9284 0.1563
31 Tl 0.6563 0.4284 0.0891
32 Tl 0.6563 0.7280 0.5672
33 Tl 0.6607 0.0716 0.7280
34 Tl 0.6607 0.0891 0.9328
35 Tl 0.7280 0.5672 0.6563
36 Tl 0.7280 0.6607 0.0716
37 Tl 0.7720 0.4284 0.8393
38 Tl 0.7720 0.8437 0.9328
39 Tl 0.8393 0.5672 0.4109
40 Tl 0.8393 0.7720 0.4284
41 Tl 0.8437 0.4109 0.0716
42 Tl 0.8437 0.9328 0.7720
43 Tl 0.9109 0.0672 0.3393
44 Tl 0.9109 0.3437 0.5716
45 Tl 0.9284 0.1563 0.5891
46 Tl 0.9284 0.2720 0.3393
47 Tl 0.9328 0.6607 0.0891
48 Tl 0.9328 0.7720 0.8437
49 Te 0.1250 0.2500 0.3750
50 Te 0.1250 0.3750 0.7500
51 Te 0.2500 0.3750 0.1250
52 Te 0.2500 0.8750 0.6250
53 Te 0.3750 0.1250 0.2500
54 Te 0.3750 0.7500 0.1250
55 Te 0.6250 0.2500 0.8750
56 Te 0.6250 0.8750 0.7500
57 Te 0.7500 0.1250 0.3750
58 Te 0.7500 0.6250 0.8750
59 Te 0.8750 0.6250 0.2500
60 Te 0.8750 0.7500 0.6250
61 I 0.0000 0.0000 0.0000
62 I 0.0000 0.0000 0.5000
63 I 0.0000 0.5000 0.0000
64 I 0.0000 0.5000 0.5000
65 I 0.1250 0.7500 0.8750
66 I 0.1250 0.8750 0.2500
67 I 0.2500 0.1250 0.8750
68 I 0.2500 0.6250 0.3750
69 I 0.3750 0.2500 0.6250
70 I 0.3750 0.6250 0.7500
71 I 0.5000 0.0000 0.0000
72 I 0.5000 0.0000 0.5000
73 I 0.5000 0.5000 0.0000
74 I 0.5000 0.5000 0.5000
75 I 0.6250 0.3750 0.2500
76 I 0.6250 0.7500 0.3750
77 I 0.7500 0.3750 0.6250
78 I 0.7500 0.8750 0.1250
79 I 0.8750 0.1250 0.7500
80 I 0.8750 0.2500 0.1250

## Properties
As for the uncorrected energy: -52.17 eV per formula unit. As for the formation energy (no corrections): -0.33 eV per atom.